[1]
# CsRb2Cl2 (GGA-PBE, optimized geometry)
data_CsRb2Cl2
_cell_length_a 9.395
_cell_length_b 9.395
_cell_length_c 4.966
_cell_angle_alpha 90.00
_cell_angle_beta 90.00
_cell_angle_gamma 90.00
_symmetry_space_group_name_H-M 'P 4/m b m'
_symmetry_Int_Tables_number 127
_symmetry_space_group_name_Hall '-P 4 2ab'
loop_
_atom_site_label
_atom_site_type_symbol
_atom_site_fract_x
_atom_site_fract_y
_atom_site_fract_z
Cs1 Cs 0.000 0.000 0.000
Rb1 Rb 0.151 0.349 0.500
Cl1 Cl 0.158 0.658 0.000
# * total magnetic moment: 0.00 μB/cell
# * offset from the most stable computed form: 22 meV/atom
# * uncorrected formation energy: -1390 meV per atom
# * D(E_F): 1.1 states/eV/f.u.


[2]
# NdErLu (GGA-PBE, optimized geometry)
data_NdErLu
_cell_length_a 5.6353
_cell_length_b 5.6353
_cell_length_c 3.4479
_cell_angle_alpha 90.00
_cell_angle_beta 90.00
_cell_angle_gamma 120.00
_symmetry_space_group_name_H-M 'P -6 m 2'
_symmetry_Int_Tables_number 187
_symmetry_space_group_name_Hall 'P -6 2'
loop_
_atom_site_label
_atom_site_type_symbol
_atom_site_fract_x
_atom_site_fract_y
_atom_site_fract_z
Nd1 Nd 0.0000 0.0000 0.0000
Er1 Er 0.6667 0.3333 0.5000
Lu1 Lu 0.3333 0.6667 0.5000
# * total magnetic moment: 0.00 μB/cell
# * offset from the most stable computed form: 53 meV/atom
# * formation energy: 0.083 eV per atom
# * D(E_F): 4.6 states/eV/f.u.


[3]
# KY2Zn (GGA-PBE, optimized geometry)
data_KY2Zn
_cell_length_a 3.786
_cell_length_b 5.730
_cell_length_c 5.731
_cell_angle_alpha 90.00
_cell_angle_beta 90.00
_cell_angle_gamma 90.00
_symmetry_space_group_name_H-M 'P m m m'
_symmetry_Int_Tables_number 47
loop_
_symmetry_equiv_pos_as_xyz
'x,y,z'
'-x,-y,-z'
'-x,-y,z'
'x,y,-z'
'x,-y,-z'
'-x,y,z'
'-x,y,-z'
'x,-y,z'
loop_
_atom_site_label
_atom_site_type_symbol
_atom_site_fract_x
_atom_site_fract_y
_atom_site_fract_z
K1 K 0.000 0.000 0.000
Y1 Y 0.000 0.500 0.500
Y2 Y 0.500 0.500 0.000
Zn1 Zn 0.500 0.000 0.500
# * total magnetic moment: 0.00 μB/cell
# * formation energy: 0.386 eV per atom
# * D(E_F): 3.7 states/eV/f.u.


[4]
# Ho3Ag4Au2 (GGA-PBE, optimized geometry)
data_Ho3Ag4Au2
_cell_length_a 13.924
_cell_length_b 10.845
_cell_length_c 5.280
_cell_angle_alpha 90.00
_cell_angle_beta 100.96
_cell_angle_gamma 90.00
_symmetry_space_group_name_H-M 'C 1 2/c 1'
_symmetry_Int_Tables_number 15
loop_
_symmetry_equiv_pos_as_xyz
'x,y,z'
'-x,-y,-z'
'-x,y,-z+1/2'
'x,-y,z+1/2'
'x+1/2,y+1/2,z'
'-x+1/2,-y+1/2,-z'
'-x+1/2,y+1/2,-z+1/2'
'x+1/2,-y+1/2,z+1/2'
loop_
_atom_site_label
_atom_site_type_symbol
_atom_site_fract_x
_atom_site_fract_y
_atom_site_fract_z
Ho1 Ho 0.000 0.119 0.250
Ho2 Ho 0.169 0.372 0.074
Ag1 Ag 0.057 0.378 0.517
Ag2 Ag 0.223 0.125 0.372
Au1 Au 0.112 0.130 0.815
# * total magnetic moment: 0.00 μB/cell
# * formation energy: -0.415 eV per atom
# * D(E_F): 5.2 states/eV/f.u.


[5]
# Ba2LaCu (GGA-PBE, optimized geometry)
data_Ba2LaCu
_cell_length_a 10.796
_cell_length_b 10.796
_cell_length_c 5.968
_cell_angle_alpha 90.00
_cell_angle_beta 90.00
_cell_angle_gamma 90.00
_symmetry_space_group_name_H-M 'I -4 2 d'
_symmetry_Int_Tables_number 122
_symmetry_space_group_name_Hall 'I -4 2bw'
loop_
_atom_site_label
_atom_site_type_symbol
_atom_site_fract_x
_atom_site_fract_y
_atom_site_fract_z
Ba1 Ba 0.137 0.250 0.125
La1 La 0.000 0.000 0.500
Cu1 Cu 0.000 0.000 0.000
# * total magnetic moment: 0.00 μB/cell
# * offset from the most stable computed form: 237 meV/atom
# * formation energy: 0.279 eV per atom
# * D(E_F): 5.9 states/eV/f.u.


[6]
# VZnCS2 (GGA-PBE, optimized geometry)
data_VZnCS2
_cell_length_a 4.675
_cell_length_b 4.675
_cell_length_c 3.801
_cell_angle_alpha 90.00
_cell_angle_beta 90.00
_cell_angle_gamma 90.00
_symmetry_space_group_name_H-M 'P 4/m m m'
_symmetry_Int_Tables_number 123
_symmetry_space_group_name_Hall '-P 4 2'
loop_
_atom_site_label
_atom_site_type_symbol
_atom_site_fract_x
_atom_site_fract_y
_atom_site_fract_z
V1 V 0.000 0.000 0.000
Zn1 Zn 0.500 0.500 0.500
C1 C 0.000 0.000 0.500
S1 S 0.000 0.500 0.000
# * total magnetic moment: 0.00 μB/cell
# * uncorrected formation energy: 561 meV per atom
# * D(E_F): 5.0 states/eV/f.u.


Record-wise ρ values, in g/cm³: 2.84, 8.52, 3.77, 11.20, 4.56, 3.85